#w
Compound: CdSi2Te
Source: Alexandria
Functional: SCAN
Structure: PBEsol geometry

Calculated values
The mass density comes out at 5.987 g/cm3. The calculation puts the density of states at the Fermi level at 1.57 states/eV/f.u.

a = 2.977 Å, b = 2.977 Å, c = 9.267 Å
α = 90.00°, β = 90.00°, γ = 90.00°
Sites, in units of the cell vectors:
Te 0.500 0.500 0.000
Si 0.000 0.000 0.723
Si 0.000 0.000 0.277
Cd 0.500 0.500 0.500



#x
Compound: CdSi2Te
Source: Alexandria
Functional: SCAN
Structure: PBEsol geometry

Calculated values
The mass density comes out at 6.021 g/cm3. The calculation puts the density of states at the Fermi level at 1.78 states/eV/f.u.

a = 3.513 Å, b = 4.858 Å, c = 4.858 Å
α = 99.79°, β = 90.00°, γ = 90.00°
Sites, in units of the cell vectors:
Cd 0.500 0.500 0.500
Si 0.000 0.000 0.500
Si 0.000 0.500 0.000
Te 0.500 0.000 0.000



Quick one: least stable of them? #w



#w
Compound: CdSi2Te
Source: Alexandria
Functional: SCAN
Structure: PBEsol geometry

Calculated values
The mass density comes out at 5.405 g/cm3. The calculation puts the density of states at the Fermi level at 1.42 states/eV/f.u.

a = 3.596 Å, b = 3.596 Å, c = 7.038 Å
α = 90.00°, β = 90.00°, γ = 90.00°
Sites, in units of the cell vectors:
Te 0.000 0.000 0.516
Si 0.500 0.500 0.098
Si 0.000 0.000 0.149
Cd 0.500 0.500 0.737



#x
Compound: CdSi2Te
Source: Alexandria
Functional: SCAN
Structure: PBEsol geometry

Calculated values
The mass density comes out at 5.209 g/cm3. The calculation puts the density of states at the Fermi level at 1.57 states/eV/f.u.

a = 3.567 Å, b = 5.263 Å, c = 5.693 Å
α = 76.08°, β = 71.74°, γ = 70.19°
Sites, in units of the cell vectors:
Cd 0.000 0.500 0.500
Si 0.240 0.882 0.637
Si 0.760 0.118 0.363
Te 0.500 0.000 0.000



Quick one: least stable of them? #x



#w
Compound: Cd2SiTe
Source: Alexandria
Functional: SCAN
Structure: PBEsol geometry

Calculated values
The mass density comes out at 7.047 g/cm3. The calculation puts the density of states at the Fermi level at 1.65 states/eV/f.u.

a = 3.801 Å, b = 4.532 Å, c = 5.205 Å
α = 90.00°, β = 90.00°, γ = 90.00°
Sites, in units of the cell vectors:
Te 0.000 0.500 0.500
Si 0.500 0.000 0.500
Cd 0.000 0.000 0.000
Cd 0.500 0.500 0.000



#x
Compound: Cd2SiTe
Source: Alexandria
Functional: SCAN
Structure: PBEsol geometry

Calculated values
The mass density comes out at 6.977 g/cm3. The calculation puts the density of states at the Fermi level at 1.53 states/eV/f.u.

a = 2.944 Å, b = 3.841 Å, c = 8.007 Å
α = 90.00°, β = 89.99°, γ = 90.00°
Sites, in units of the cell vectors:
Cd 0.001 0.000 0.293
Cd 0.999 0.000 0.707
Si 0.500 0.500 0.500
Te 0.000 0.500 0.000



#y
Compound: Cd2SiTe
Source: Alexandria
Functional: SCAN
Structure: PBEsol geometry

Calculated values
The mass density comes out at 7.038 g/cm3. The calculation puts the density of states at the Fermi level at 2.02 states/eV/f.u.

a = 3.940 Å, b = 4.774 Å, c = 4.774 Å
α = 90.00°, β = 90.00°, γ = 90.00°
Sites, in units of the cell vectors:
Cd 0.000 0.000 0.500
Cd 0.000 0.500 0.000
Te 0.500 0.000 0.000
Si 0.500 0.500 0.500



Quick one: least stable of them? #y



#w
Compound: TlCd2Si
Source: Alexandria
Functional: SCAN
Structure: PBEsol geometry

Calculated values
The mass density comes out at 8.577 g/cm3. The calculation puts the density of states at the Fermi level at 1.68 states/eV/f.u.

a = 2.880 Å, b = 5.442 Å, c = 6.423 Å
α = 114.81°, β = 102.95°, γ = 90.00°
Sites, in units of the cell vectors:
Cd 0.723 0.724 0.447
Cd 0.277 0.276 0.553
Si 0.000 0.500 0.000
Tl 0.500 0.000 0.000



#x
Compound: TlCd2Si
Source: Alexandria
Functional: SCAN
Structure: PBEsol geometry

Calculated values
The mass density comes out at 8.622 g/cm3. The calculation puts the density of states at the Fermi level at 1.54 states/eV/f.u.

a = 2.985 Å, b = 3.968 Å, c = 7.435 Å
α = 90.00°, β = 90.00°, γ = 90.00°
Sites, in units of the cell vectors:
Tl 0.500 0.500 0.733
Cd 0.500 0.500 0.272
Cd 0.000 0.000 0.030
Si 0.000 0.000 0.465



#y
Compound: TlCd2Si
Source: Alexandria
Functional: SCAN
Structure: PBEsol geometry

Calculated values
The mass density comes out at 8.776 g/cm3. The calculation puts the density of states at the Fermi level at 1.52 states/eV/f.u.

a = 4.390 Å, b = 4.390 Å, c = 5.459 Å
α = 113.71°, β = 113.71°, γ = 90.00°
Sites, in units of the cell vectors:
Cd 0.750 0.250 0.500
Cd 0.250 0.750 0.500
Si 0.500 0.500 0.000
Tl 0.000 0.000 0.000



Quick one: least stable of them? #y



#w
Compound: Sr3Cd
Source: Alexandria
Functional: SCAN
Structure: PBEsol geometry

Calculated values
The mass density comes out at 3.539 g/cm3. The calculation puts the density of states at the Fermi level at 3.88 states/eV/f.u.

a = 4.183 Å, b = 4.183 Å, c = 11.619 Å
α = 90.00°, β = 90.00°, γ = 120.00°
Sites, in units of the cell vectors:
Sr 0.333 0.667 0.800
Sr 0.333 0.667 0.200
Sr 0.000 0.000 0.500
Cd 0.000 0.000 0.000



#x
Compound: Sr3Cd
Source: Alexandria
Functional: SCAN
Structure: PBEsol geometry

Calculated values
The mass density comes out at 3.822 g/cm3. The calculation puts the density of states at the Fermi level at 2.47 states/eV/f.u.

a = 3.920 Å, b = 7.052 Å, c = 7.052 Å
α = 116.65°, β = 100.68°, γ = 100.68°
Sites, in units of the cell vectors:
Sr 0.000 0.500 0.500
Sr 0.500 0.500 0.000
Sr 0.500 0.000 0.500
Cd 0.000 0.000 0.000



#y
Compound: Sr3Cd
Source: Alexandria
Functional: SCAN
Structure: PBEsol geometry

Calculated values
The mass density comes out at 3.759 g/cm3. The calculation puts the density of states at the Fermi level at 4.20 states/eV/f.u.

a = 4.171 Å, b = 6.200 Å, c = 7.419 Å
α = 114.70°, β = 106.33°, γ = 90.00°
Sites, in units of the cell vectors:
Sr 0.500 0.500 0.000
Sr 0.297 0.797 0.594
Sr 0.703 0.203 0.406
Cd 0.000 0.000 0.000



#z
Compound: Sr3Cd
Source: Alexandria
Functional: SCAN
Structure: PBEsol geometry

Calculated values
The mass density comes out at 3.760 g/cm3. The calculation puts the density of states at the Fermi level at 3.61 states/eV/f.u.

a = 4.042 Å, b = 4.042 Å, c = 10.143 Å
α = 90.00°, β = 90.00°, γ = 90.00°
Sites, in units of the cell vectors:
Sr 0.500 0.500 0.189
Sr 0.500 0.500 0.811
Sr 0.000 0.000 0.500
Cd 0.000 0.000 0.000



Quick one: least stable of them? #x



#w
Compound: TaCd2Tc
Source: Alexandria
Functional: SCAN
Structure: PBEsol geometry

Calculated values
The mass density comes out at 12.045 g/cm3. The calculation puts the density of states at the Fermi level at 2.00 states/eV/f.u.

a = 2.750 Å, b = 4.956 Å, c = 5.330 Å
α = 95.55°, β = 90.00°, γ = 106.11°
Sites, in units of the cell vectors:
Ta 0.501 0.001 0.527
Cd 0.749 0.499 0.238
Cd 0.997 0.994 0.012
Tc 0.253 0.507 0.723



#x
Compound: TaCd2Tc
Source: Alexandria
Functional: SCAN
Structure: PBEsol geometry

Calculated values
The mass density comes out at 12.204 g/cm3. The calculation puts the density of states at the Fermi level at 1.99 states/eV/f.u.

a = 3.874 Å, b = 3.874 Å, c = 5.326 Å
α = 111.33°, β = 111.33°, γ = 90.00°
Sites, in units of the cell vectors:
Tc 0.000 0.000 0.000
Cd 0.250 0.750 0.500
Cd 0.750 0.250 0.500
Ta 0.500 0.500 0.000



Quick one: least stable of them? #w